Record 1
Material: SnIrPb2
Method: DFT, PBE-GGA
State: relaxed

ΔE_f ... 0.571 eV/atom
Calculated total energy ... -4.499 eV per atom
D(E_F) ... 16.08 states/eV/cell
Total magnetic moment ... 0.00 μB per cell

Lattice parameters (Å, degrees): 6.400 6.400 13.458 90.00 90.00 90.00
Positions (direct):
Sn 0.000 0.000 0.000
Sn 0.000 0.500 0.250
Sn 0.500 0.000 0.750
Sn 0.500 0.500 0.500
Ir 0.000 0.000 0.500
Ir 0.000 0.500 0.750
Ir 0.500 0.000 0.250
Ir 0.500 0.500 0.000
Pb 0.199 0.250 0.625
Pb 0.250 0.699 0.875
Pb 0.250 0.801 0.375
Pb 0.301 0.250 0.125
Pb 0.699 0.750 0.125
Pb 0.750 0.199 0.375
Pb 0.750 0.301 0.875
Pb 0.801 0.750 0.625


Record 2
Material: Sn3IrPb
Method: DFT, PBE-GGA
State: relaxed

ΔE_f ... 1.626 eV/atom
ΔE to the lowest computed polymorph ... 1493 meV per atom
Calculated total energy ... -3.290 eV per atom
D(E_F) ... 5.47 states/eV/cell
Total magnetic moment ... 0.00 μB per cell

Lattice parameters (Å, degrees): 5.593 5.593 5.593 90.00 90.00 90.00
Positions (direct):
Sn 0.000 0.000 0.500
Sn 0.000 0.500 0.000
Sn 0.500 0.000 0.000
Ir 0.500 0.500 0.500
Pb 0.000 0.000 0.000


Record 3
Material: SnIrPb
Method: DFT, PBE-GGA
State: relaxed

ΔE_f ... 0.011 eV/atom
Calculated total energy ... -5.514 eV per atom
D(E_F) ... 3.74 states/eV/cell
Total magnetic moment ... 0.00 μB per cell

Lattice parameters (Å, degrees): 5.546 5.546 9.975 90.00 90.00 78.09
Positions (direct):
Sn 0.148 0.852 0.801
Sn 0.352 0.648 0.301
Sn 0.648 0.352 0.699
Sn 0.852 0.148 0.199
Ir 0.181 0.819 0.074
Ir 0.319 0.681 0.574
Ir 0.681 0.319 0.426
Ir 0.819 0.181 0.926
Pb 0.199 0.199 0.500
Pb 0.301 0.301 0.000
Pb 0.699 0.699 0.000
Pb 0.801 0.801 0.500


Record 4
Material: Sn2Ir2Pb
Method: DFT, PBE-GGA
State: relaxed

ΔE_f ... 0.060 eV/atom
ΔE to the lowest computed polymorph ... 43 meV per atom
Calculated total energy ... -5.827 eV per atom
D(E_F) ... 6.25 states/eV/cell
Total magnetic moment ... 0.00 μB per cell

Lattice parameters (Å, degrees): 4.548 4.548 10.887 90.00 90.00 90.00
Positions (direct):
Sn 0.000 0.500 0.250
Sn 0.000 0.500 0.750
Sn 0.500 0.000 0.250
Sn 0.500 0.000 0.750
Ir 0.000 0.000 0.117
Ir 0.000 0.000 0.883
Ir 0.500 0.500 0.383
Ir 0.500 0.500 0.617
Pb 0.000 0.000 0.500
Pb 0.500 0.500 0.000


Record 5
Material: SnIr2Pb
Method: DFT, PBE-GGA
State: relaxed

ΔE_f ... 0.364 eV/atom
ΔE to the lowest computed polymorph ... 0 meV per atom
Calculated total energy ... -5.995 eV per atom
D(E_F) ... 20.66 states/eV/cell
Total magnetic moment ... 0.00 μB per cell

Lattice parameters (Å, degrees): 6.687 6.687 6.687 90.00 90.00 90.00
Positions (direct):
Sn 0.000 0.000 0.000
Sn 0.000 0.500 0.500
Sn 0.500 0.000 0.500
Sn 0.500 0.500 0.000
Ir 0.250 0.250 0.250
Ir 0.250 0.250 0.750
Ir 0.250 0.750 0.250
Ir 0.250 0.750 0.750
Ir 0.750 0.250 0.250
Ir 0.750 0.250 0.750
Ir 0.750 0.750 0.250
Ir 0.750 0.750 0.750
Pb 0.000 0.000 0.500
Pb 0.000 0.500 0.000
Pb 0.500 0.000 0.000
Pb 0.500 0.500 0.500


Record 6
Material: SnIr2Pb2
Method: DFT, PBE-GGA
State: relaxed

ΔE_f ... 0.293 eV/atom
Calculated total energy ... -5.536 eV per atom
D(E_F) ... 5.32 states/eV/cell
Total magnetic moment ... 0.00 μB per cell

Lattice parameters (Å, degrees): 6.873 6.873 4.796 90.00 90.00 90.00
Positions (direct):
Sn 0.000 0.000 0.000
Sn 0.500 0.500 0.000
Ir 0.134 0.366 0.000
Ir 0.366 0.866 0.000
Ir 0.634 0.134 0.000
Ir 0.866 0.634 0.000
Pb 0.169 0.669 0.500
Pb 0.331 0.169 0.500
Pb 0.669 0.831 0.500
Pb 0.831 0.331 0.500


Record 7
Material: Sn3IrPb
Method: DFT, PBE-GGA
State: relaxed

ΔE_f ... 0.133 eV/atom
ΔE to the lowest computed polymorph ... 0 meV per atom
Calculated total energy ... -4.782 eV per atom
D(E_F) ... 5.38 states/eV/cell
Total magnetic moment ... 0.00 μB per cell

Lattice parameters (Å, degrees): 5.221 5.221 5.221 90.00 90.00 90.00
Positions (direct):
Sn 0.000 0.000 0.500
Sn 0.000 0.500 0.000
Sn 0.500 0.000 0.000
Ir 0.000 0.000 0.000
Pb 0.500 0.500 0.500


Record 8
Material: SnIrPb2
Method: DFT, PBE-GGA
State: relaxed

ΔE_f ... 0.601 eV/atom
Calculated total energy ... -4.469 eV per atom
D(E_F) ... 11.55 states/eV/cell
Total magnetic moment ... 0.00 μB per cell

Lattice parameters (Å, degrees): 3.198 3.198 35.225 90.00 90.00 120.00
Positions (direct):
Sn 0.000 0.000 0.000
Sn 0.333 0.667 0.667
Sn 0.667 0.333 0.333
Ir 0.000 0.000 0.500
Ir 0.333 0.667 0.167
Ir 0.667 0.333 0.833
Pb 0.000 0.000 0.424
Pb 0.000 0.000 0.576
Pb 0.333 0.667 0.090
Pb 0.333 0.667 0.243
Pb 0.667 0.333 0.757
Pb 0.667 0.333 0.910